# 1
Below is a relaxed structure of Ho2SnS6, with properties calculated at the PBE level.

a = 6.6104 Å, b = 7.0880 Å, c = 10.2905 Å
α = 90.00°, β = 124.18°, γ = 90.00°
Space group P2_1/c (No. 14)
Symmetry-distinct sites (fractional):
Ho 0.1965 0.1279 0.2324 [4 per cell]
Sn 0.5000 0.0000 0.0000 [2 per cell]
S 0.1058 0.1704 0.9246 [4 per cell]
S 0.2663 0.6712 0.9473 [4 per cell]
S 0.3948 0.0287 0.7243 [4 per cell]

## Properties
The value obtained for the formation energy without anion corrections is -1024 meV/atom.

---

# 2
Below is a relaxed structure of Ho4SnS4, with properties calculated at the PBE level.

a = 13.7444 Å, b = 3.9251 Å, c = 10.1557 Å
α = 90.00°, β = 121.45°, γ = 90.00°
Space group C2/m (No. 12)
Symmetry-distinct sites (fractional):
Ho 0.0974 0.0000 0.3760 [4 per cell]
Ho 0.2148 0.5000 0.8124 [4 per cell]
Sn 0.0000 0.5000 0.5000 [2 per cell]
S 0.1150 0.0000 0.8903 [4 per cell]
S 0.2043 0.5000 0.3069 [4 per cell]

## Properties
The value obtained for the formation energy without anion corrections is -1715 meV/atom.

---

# 3
Below is a relaxed structure of Ho2SnS, with properties calculated at the PBE level.

a = 3.8449 Å, b = 3.8449 Å, c = 22.9041 Å
α = 90.00°, β = 90.00°, γ = 120.00°
Space group R-3m (No. 166, hexagonal axes)
Symmetry-distinct sites (fractional):
Ho 0.0000 0.0000 0.2354 [6 per cell]
Sn 0.0000 0.0000 0.0000 [3 per cell]
S 0.0000 0.0000 0.5000 [3 per cell]

## Properties
The value obtained for the formation energy without anion corrections is -1280 meV/atom. The value obtained for the energy above the lowest structure with this stoichiometry is 0.000 eV/atom.

---

# 4
Below is a relaxed structure of Ho6SnS4, with properties calculated at the PBE level.

a = 3.9217 Å, b = 12.9779 Å, c = 19.9352 Å
α = 90.00°, β = 90.00°, γ = 90.00°
Space group Cmcm (No. 63)
Symmetry-distinct sites (fractional):
Ho 0.0000 0.0000 0.0000 [4 per cell]
Ho 0.0000 0.1511 0.2500 [4 per cell]
Ho 0.0000 0.2712 0.5849 [8 per cell]
Ho 0.0000 0.4588 0.1587 [8 per cell]
Sn 0.0000 0.1668 0.7500 [4 per cell]
S 0.0000 0.0931 0.1215 [8 per cell]
S 0.0000 0.3618 0.0388 [8 per cell]

## Properties
The value obtained for the formation energy without anion corrections is -1599 meV/atom.

---

Sequential D(E_F) output: 7.96 1.63 6.35 28.35 states/eV/cell
Sequential raw total energy output: -5.24 -6.03 -5.60 -5.96 eV/atom